6
Lattice="4.5993 0.0000 0.0000 -2.2997 3.9831 0.0000 0.0000 0.0000 6.7544" Properties=species:S:1:pos:R:3 comment="Li2PrCdAu2 (PBE, optimized geometry)" e_form_ev_per_fu=-3.3 pbc="T T T"
Li 2.2997 1.3277 2.2700
Li 0.0000 2.6554 4.4844
Au 0.0000 2.6554 1.7816
Au 2.2997 1.3277 4.9728
Pr 0.0000 0.0000 0.0000
Cd 0.0000 0.0000 3.3772